# 1
First-principles (PBE-GGA) data for VCu3Ag after structural relaxation, as listed in Alexandria.

For the polymorph energy (0 for the lowest one), the calculation gives 0.0000 eV/atom. The calculation puts the magnetization at 3.6 Bohr magnetons per cell. The total energy is -3.6377 eV per atom. The energy of formation from the pure elements comes out at 6.07 eV per formula unit. The density of states at the Fermi level is 4.9 states/eV/f.u.

The structure belongs to space group Pm-3m (No. 221); the cell edges are 4.657, 4.657 and 4.657 Å and the angles 90.00°, 90.00° and 90.00°. Symmetry generates all atoms from V at (0.000, 0.000, 0.000), Cu at (0.000, 0.500, 0.500) and Ag at (0.500, 0.500, 0.500).



# 2
First-principles (PBE-GGA) data for Zn2InSeO6 after structural relaxation, as listed in Alexandria.

The calculation puts the magnetization at 0.0 Bohr magnetons per cell. The total energy is -4.9364 eV per atom. The value obtained for the energy relative to the elements, uncorrected is -1046.3 kJ/mol of formula units. The density of states at the Fermi level is 3.9 states/eV/f.u.

The structure belongs to space group C2/c (No. 15); the cell edges are 9.801, 9.406 and 5.482 Å and the angles 90.00°, 97.26° and 90.00°. Symmetry generates all atoms from Zn at (0.182, 0.095, 0.306), In at (0.000, 0.411, 0.250), Se at (0.000, 0.217, 0.750), O at (0.100, 0.238, 0.072), O at (0.118, 0.411, 0.615) and O at (0.121, 0.093, 0.647).



# 3
First-principles (PBE-GGA) data for Zr6NiPd after structural relaxation, as listed in Alexandria.

The calculation puts the magnetization at 0.0 Bohr magnetons per cell. The total energy is -7.9669 eV per atom. The energy of formation from the pure elements comes out at -1.47 eV per formula unit. The density of states at the Fermi level is 10.3 states/eV/f.u.

The structure belongs to space group P-1 (No. 2); the cell edges are 5.452, 5.454 and 5.459 Å and the angles 89.70°, 89.50° and 89.59°. Symmetry generates all atoms from Zr at (0.002, 0.253, 0.499), Zr at (0.247, 0.002, 0.998), Zr at (0.497, 0.501, 0.753), Ni at (0.000, 0.500, 0.000) and Pd at (0.500, 0.000, 0.500).



# 4
First-principles (PBE-GGA) data for Ac2Ga3Ni2 after structural relaxation, as listed in Alexandria.

For the polymorph energy (0 for the lowest one), the calculation gives 0.0721 eV/atom. The calculation puts the magnetization at 0.0 Bohr magnetons per cell. The total energy is -4.5186 eV per atom. The energy of formation from the pure elements comes out at -2.77 eV per formula unit. The density of states at the Fermi level is 6.4 states/eV/f.u.

The structure belongs to space group Cmcm (No. 63); the cell edges are 4.508, 19.248 and 7.110 Å and the angles 90.00°, 90.00° and 90.00°. Symmetry generates all atoms from Ac at (0.000, 0.061, 0.250), Ac at (0.000, 0.166, 0.750), Ga at (0.000, 0.222, 0.250), Ga at (0.000, 0.439, 0.073) and Ni at (0.000, 0.315, 0.570).